A PBEsol-optimized structure of LiTe2NO. Source: Alexandria, functional SCAN.

Computed properties:
Formation energy from raw total energies = 0.824 eV per atom
Final energy = -17.659 eV per atom

Lattice parameters (Å, degrees): 4.5971 4.5971 3.9444 90.00 90.00 90.00
Space group P4/mmm (No. 123)
Unique sites:
Li: 0.0000 0.0000 0.0000 (multiplicity 1)
Te: 0.0000 0.5000 0.5000 (multiplicity 2)
N: 0.5000 0.5000 0.0000 (multiplicity 1)
O: 0.5000 0.5000 0.5000 (multiplicity 1)

A PBEsol-optimized structure of TaIn2Cl. Source: Alexandria, functional SCAN.

Computed properties:
Formation energy from raw total energies = -0.094 eV per atom
Final energy = -35.427 eV per atom
Energy relative to the lowest polymorph listed for this composition = 0.000 kcal/mol of atoms

Lattice parameters (Å, degrees): 3.0709 5.5023 10.4999 90.00 90.00 90.00
Space group Cmm2 (No. 35)
Unique sites:
Ta: 0.0000 0.0000 0.0000 (multiplicity 2)
In: 0.0000 0.0000 0.5005 (multiplicity 2)
In: 0.0000 0.5000 0.7642 (multiplicity 2)
Cl: 0.0000 0.5000 0.1830 (multiplicity 2)

A PBEsol-optimized structure of HfRe2. Source: Alexandria, functional SCAN.

Computed properties:
DFT formation energy = -0.49 eV/atom
Final energy = -68.780 eV per atom

Lattice parameters (Å, degrees): 5.2216 5.2216 8.5508 90.00 90.00 120.00
Space group P6_3/mmc (No. 194)
Unique sites:
Hf: 0.3333 0.6667 0.0617 (multiplicity 4)
Re: 0.0000 0.0000 0.0000 (multiplicity 2)
Re: 0.1717 0.3433 0.7500 (multiplicity 6)

A PBEsol-optimized structure of ScOsPb. Source: Alexandria, functional SCAN.

Computed properties:
DFT formation energy = -0.02 eV/atom
Final energy = -53.987 eV per atom
Energy relative to the lowest polymorph listed for this composition = 0.000 kcal/mol of atoms

Lattice parameters (Å, degrees): 3.2358 3.8381 9.0206 90.00 90.00 90.00
Space group Imm2 (No. 44)
Unique sites:
Sc: 0.0000 0.0000 0.0000 (multiplicity 2)
Os: 0.0000 0.0000 0.6463 (multiplicity 2)
Pb: 0.0000 0.0000 0.3142 (multiplicity 2)

A PBEsol-optimized structure of Mo8Os. Source: Alexandria, functional SCAN.

Computed properties:
DFT formation energy = 0.06 eV/atom
Final energy = -38.940 eV per atom

Lattice parameters (Å, degrees): 9.3528 9.3528 3.1224 90.00 90.00 90.00
Space group I4/mmm (No. 139)
Unique sites:
Mo: 0.0000 0.3318 0.0000 (multiplicity 8)
Mo: 0.1677 0.1677 0.5000 (multiplicity 8)
Os: 0.0000 0.0000 0.0000 (multiplicity 2)

A PBEsol-optimized structure of Ta5Rh. Source: Alexandria, functional SCAN.

Computed properties:
DFT formation energy = -0.26 eV/atom
Final energy = -61.378 eV per atom
Energy relative to the lowest polymorph listed for this composition = 0.000 kcal/mol of atoms

Lattice parameters (Å, degrees): 10.1902 3.2782 6.3953 90.00 108.77 90.00
Space group C2/m (No. 12)
Unique sites:
Ta: 0.0000 0.0000 0.0000 (multiplicity 2)
Ta: 0.1648 0.5000 0.8308 (multiplicity 4)
Ta: 0.1657 0.5000 0.3343 (multiplicity 4)
Rh: 0.0000 0.0000 0.5000 (multiplicity 2)

A PBEsol-optimized structure of As2SeBrN. Source: Alexandria, functional SCAN.

Computed properties:
Formation energy from raw total energies = 1.591 eV per atom
Final energy = -16.251 eV per atom

Lattice parameters (Å, degrees): 4.9917 4.9917 5.4882 90.00 90.00 90.00
Space group P4/mmm (No. 123)
Unique sites:
As: 0.0000 0.5000 0.0000 (multiplicity 2)
Se: 0.0000 0.0000 0.0000 (multiplicity 1)
Br: 0.0000 0.0000 0.5000 (multiplicity 1)
N: 0.5000 0.5000 0.5000 (multiplicity 1)

A PBEsol-optimized structure of La2ScTiTl. Source: Alexandria, functional SCAN.

Computed properties:
DFT formation energy = 0.41 eV/atom
Final energy = -37.360 eV per atom

Lattice parameters (Å, degrees): 5.2217 5.2217 5.4012 90.00 90.00 90.00
Space group P4/mmm (No. 123)
Unique sites:
La: 0.0000 0.5000 0.0000 (multiplicity 2)
Sc: 0.0000 0.0000 0.5000 (multiplicity 1)
Ti: 0.5000 0.5000 0.0000 (multiplicity 1)
Tl: 0.5000 0.5000 0.5000 (multiplicity 1)